Record 1
# NiMoP2Cl | the Alexandria database | PBE-GGA | optimized geometry
data_NiMoP2Cl
_space_group_name_H-M_alt 'P 4/m m m'
_space_group_IT_number 123
_space_group_name_Hall '-P 4 2'
_cell_length_a 4.375
_cell_length_b 4.375
_cell_length_c 4.568
_cell_angle_alpha 90.00
_cell_angle_beta 90.00
_cell_angle_gamma 90.00
loop_
_atom_site_label
_atom_site_fract_x
_atom_site_fract_y
_atom_site_fract_z
Ni1 0.000 0.000 0.000
Mo1 0.500 0.500 0.500
P1 0.000 0.500 0.000
Cl1 0.000 0.000 0.500
# * mass density: 4.79 g cm⁻³
# * relative energy among the computed polymorphs: 35.7 meV/atom
# * uncorrected formation energy: 790 meV/atom

Record 2
# NiMoP2Cl | the Alexandria database | PBE-GGA | optimized geometry
data_NiMoP2Cl
_space_group_name_H-M_alt 'P 4/m m m'
_space_group_IT_number 123
_space_group_name_Hall '-P 4 2'
_cell_length_a 4.645
_cell_length_b 4.645
_cell_length_c 4.910
_cell_angle_alpha 90.00
_cell_angle_beta 90.00
_cell_angle_gamma 90.00
loop_
_atom_site_label
_atom_site_fract_x
_atom_site_fract_y
_atom_site_fract_z
Ni1 0.000 0.000 0.000
Mo1 0.500 0.500 0.500
P1 0.000 0.500 0.500
Cl1 0.500 0.500 0.000
# * mass density: 3.95 g cm⁻³
# * relative energy among the computed polymorphs: 0.0 meV/atom
# * uncorrected formation energy: 755 meV/atom

Record 3
# NiMoPbCl2 | the Alexandria database | PBE-GGA | optimized geometry
data_NiMoPbCl2
_space_group_name_H-M_alt 'P 4/m m m'
_space_group_IT_number 123
_space_group_name_Hall '-P 4 2'
_cell_length_a 4.554
_cell_length_b 4.554
_cell_length_c 5.998
_cell_angle_alpha 90.00
_cell_angle_beta 90.00
_cell_angle_gamma 90.00
loop_
_atom_site_label
_atom_site_fract_x
_atom_site_fract_y
_atom_site_fract_z
Ni1 0.000 0.000 0.000
Mo1 0.500 0.500 0.500
Pb1 0.500 0.500 0.000
Cl1 0.000 0.500 0.500
# * mass density: 5.78 g cm⁻³
# * uncorrected formation energy: 547 meV/atom

Record 4
# Rb2NiMoCl6 | the Alexandria database | PBE-GGA | optimized geometry
data_Rb2NiMoCl6
_space_group_name_H-M_alt 'I 4/m m m'
_space_group_IT_number 139
_space_group_name_Hall '-I 4 2'
_cell_length_a 7.429
_cell_length_b 7.429
_cell_length_c 9.094
_cell_angle_alpha 90.00
_cell_angle_beta 90.00
_cell_angle_gamma 90.00
loop_
_atom_site_label
_atom_site_fract_x
_atom_site_fract_y
_atom_site_fract_z
Rb1 0.000 0.500 0.250
Ni1 0.000 0.000 0.000
Mo1 0.000 0.000 0.500
Cl1 0.000 0.000 0.237
Cl2 0.237 0.237 0.500
# * mass density: 3.56 g cm⁻³
# * uncorrected formation energy: -1091 meV/atom

Record 5
# NiMo2RhCl | the Alexandria database | PBE-GGA | optimized geometry
data_NiMo2RhCl
_space_group_name_H-M_alt 'P 4/m m m'
_space_group_IT_number 123
_space_group_name_Hall '-P 4 2'
_cell_length_a 4.546
_cell_length_b 4.546
_cell_length_c 4.601
_cell_angle_alpha 90.00
_cell_angle_beta 90.00
_cell_angle_gamma 90.00
loop_
_atom_site_label
_atom_site_fract_x
_atom_site_fract_y
_atom_site_fract_z
Ni1 0.000 0.000 0.000
Mo1 0.000 0.500 0.000
Rh1 0.000 0.000 0.500
Cl1 0.500 0.500 0.500
# * mass density: 6.79 g cm⁻³
# * uncorrected formation energy: 1525 meV/atom

Record 6
# NiMoS2Cl | the Alexandria database | PBE-GGA | optimized geometry
data_NiMoS2Cl
_space_group_name_H-M_alt 'P 4/m m m'
_space_group_IT_number 123
_space_group_name_Hall '-P 4 2'
_cell_length_a 4.639
_cell_length_b 4.639
_cell_length_c 4.908
_cell_angle_alpha 90.00
_cell_angle_beta 90.00
_cell_angle_gamma 90.00
loop_
_atom_site_label
_atom_site_fract_x
_atom_site_fract_y
_atom_site_fract_z
Ni1 0.000 0.000 0.000
Mo1 0.500 0.500 0.500
S1 0.000 0.500 0.500
Cl1 0.500 0.500 0.000
# * mass density: 4.00 g cm⁻³
# * relative energy among the computed polymorphs: 0.0 meV/atom
# * uncorrected formation energy: 443 meV/atom

Record 7
# NiMoS2Cl | the Alexandria database | PBE-GGA | optimized geometry
data_NiMoS2Cl
_space_group_name_H-M_alt 'P 4/m m m'
_space_group_IT_number 123
_space_group_name_Hall '-P 4 2'
_cell_length_a 4.537
_cell_length_b 4.537
_cell_length_c 4.371
_cell_angle_alpha 90.00
_cell_angle_beta 90.00
_cell_angle_gamma 90.00
loop_
_atom_site_label
_atom_site_fract_x
_atom_site_fract_y
_atom_site_fract_z
Ni1 0.000 0.000 0.000
Mo1 0.500 0.500 0.500
S1 0.000 0.500 0.000
Cl1 0.000 0.000 0.500
# * mass density: 4.69 g cm⁻³
# * relative energy among the computed polymorphs: 111.1 meV/atom
# * uncorrected formation energy: 554 meV/atom

Record 8
# Sc2NiMoCl | the Alexandria database | PBE-GGA | optimized geometry
data_Sc2NiMoCl
_space_group_name_H-M_alt 'P 4/m m m'
_space_group_IT_number 123
_space_group_name_Hall '-P 4 2'
_cell_length_a 5.023
_cell_length_b 5.023
_cell_length_c 4.105
_cell_angle_alpha 90.00
_cell_angle_beta 90.00
_cell_angle_gamma 90.00
loop_
_atom_site_label
_atom_site_fract_x
_atom_site_fract_y
_atom_site_fract_z
Sc1 0.000 0.500 0.000
Ni1 0.000 0.000 0.000
Mo1 0.500 0.500 0.500
Cl1 0.000 0.000 0.500
# * mass density: 4.49 g cm⁻³
# * uncorrected formation energy: 665 meV/atom

> Which formula does entry 3 have?

NiMoPbCl2